Entry 1:
The following is a DFT calculation (PBE) of ErBe2Pd7 after structural relaxation.

Unit cell a=4.238 b=6.549 c=6.549 alpha=112.90 beta=90.00 gamma=90.00
Fractional positions:
1 Pd 0.500 0.500 0.500
2 Pd 0.500 0.061 0.322
3 Pd 0.000 0.672 0.328
4 Pd 0.500 0.678 0.939
5 Pd 0.000 0.328 0.672
6 Pd 0.500 0.939 0.678
7 Pd 0.500 0.322 0.061
8 Be 0.500 0.289 0.711
9 Be 0.500 0.711 0.289
10 Er 0.000 0.000 0.000

Output
ΔH_f (0 K) in kJ per mole of atoms: -30.1
V in Å³/cell: 167
Symmetry: No. 65

Entry 2:
The following is a DFT calculation (PBE) of BaLiMo2Pt after structural relaxation.

Unit cell a=5.284 b=5.332 c=5.284 alpha=90.00 beta=90.00 gamma=90.00
Fractional positions:
1 Li 0.500 0.500 0.500
2 Mo 0.500 0.000 0.000
3 Mo 0.000 0.000 0.500
4 Pt 0.000 0.500 0.000
5 Ba 0.000 0.000 0.000

Output
ΔH_f (0 K) in kJ per mole of atoms: 236.8
V in Å³/cell: 149
Symmetry: No. 123

Entry 3:
The following is a DFT calculation (PBE) of Er2Ga3Ni after structural relaxation.

Unit cell a=3.581 b=4.300 c=7.499 alpha=90.00 beta=90.00 gamma=90.00
Fractional positions:
1 Er 0.000 0.000 0.486
2 Er 0.000 0.500 0.019
3 Ni 0.500 0.500 0.330
4 Ga 0.500 0.500 0.655
5 Ga 0.500 0.000 0.835
6 Ga 0.500 0.000 0.175

Output
ΔH_f (0 K) in kJ per mole of atoms: -61.4
V in Å³/cell: 115
Symmetry: No. 25

Entry 4:
The following is a DFT calculation (PBE) of Na2Sr4P after structural relaxation.

Unit cell a=5.899 b=5.899 c=10.286 alpha=73.34 beta=73.34 gamma=90.00
Fractional positions:
1 Sr 0.162 0.162 0.675
2 Sr 0.838 0.838 0.325
3 Sr 0.500 0.000 0.000
4 Sr 0.000 0.500 0.000
5 P 0.000 0.000 0.000
6 Na 0.640 0.640 0.719
7 Na 0.360 0.360 0.281

Output
ΔH_f (0 K) in kJ per mole of atoms: -26.9
E above lowest polymorph in eV/f.u.: 0.30
V in Å³/cell: 327
Symmetry: No. 139

Entry 5:
The following is a DFT calculation (PBE) of Fe2ReRu after structural relaxation.

Unit cell a=2.632 b=2.632 c=7.207 alpha=90.00 beta=90.00 gamma=90.00
Fractional positions:
1 Re 0.500 0.500 0.250
2 Ru 0.500 0.500 0.750
3 Fe 0.000 0.000 0.504
4 Fe 0.000 0.000 0.996

Output
ΔH_f (0 K) in kJ per mole of atoms: 13.4
V in Å³/cell: 50
Symmetry: No. 123

Entry 6:
The following is a DFT calculation (PBE) of Tc3P after structural relaxation.

Unit cell a=7.208 b=7.208 c=7.208 alpha=96.28 beta=96.28 gamma=141.38
Fractional positions:
1 P 0.204 0.528 0.740
2 P 0.536 0.796 0.324
3 P 0.788 0.464 0.260
4 P 0.472 0.212 0.676
5 Tc 0.338 0.962 0.327
6 Tc 0.989 0.662 0.624
7 Tc 0.301 0.105 0.985
8 Tc 0.121 0.316 0.015
9 Tc 0.912 0.516 0.959
10 Tc 0.484 0.443 0.396
11 Tc 0.895 0.879 0.195
12 Tc 0.038 0.366 0.376
13 Tc 0.634 0.011 0.673
14 Tc 0.557 0.953 0.041
15 Tc 0.047 0.088 0.604
16 Tc 0.684 0.699 0.805

Output
ΔH_f (0 K) in kJ per mole of atoms: -32.8
E above lowest polymorph in eV/f.u.: 0.00
V in Å³/cell: 221
Symmetry: No. 82

Entry 7:
The following is a DFT calculation (PBE) of Ce3RuRh2 after structural relaxation.

Unit cell a=6.924 b=6.906 c=6.917 alpha=80.43 beta=70.64 gamma=59.91
Fractional positions:
1 Ce 0.918 0.662 0.247
2 Ce 0.258 0.000 0.242
3 Ce 0.082 0.338 0.753
4 Ce 0.421 0.662 0.753
5 Ce 0.742 0.000 0.758
6 Ce 0.579 0.338 0.247
7 Rh 0.838 0.323 0.500
8 Rh 0.000 0.000 0.000
9 Rh 0.500 0.000 0.500
10 Rh 0.162 0.677 0.500
11 Ru 0.332 0.336 0.000
12 Ru 0.668 0.664 0.000

Output
ΔH_f (0 K) in kJ per mole of atoms: -51.4
V in Å³/cell: 270
Symmetry: No. 12

Entry 8:
The following is a DFT calculation (PBE) of PuB4Ir4 after structural relaxation.

Unit cell a=3.965 b=7.691 c=7.691 alpha=90.00 beta=90.00 gamma=90.00
Fractional positions:
1 Ir 0.110 0.160 0.610
2 Ir 0.890 0.390 0.160
3 Ir 0.390 0.660 0.110
4 Ir 0.610 0.890 0.660
5 Ir 0.890 0.610 0.840
6 Ir 0.390 0.340 0.890
7 Ir 0.610 0.110 0.340
8 Ir 0.110 0.840 0.390
9 B 0.889 0.656 0.224
10 B 0.611 0.156 0.724
11 B 0.389 0.724 0.844
12 B 0.611 0.844 0.276
13 B 0.889 0.344 0.776
14 B 0.389 0.276 0.156
15 B 0.111 0.224 0.344
16 B 0.111 0.776 0.656
17 Pu 0.500 0.500 0.500
18 Pu 0.000 0.000 0.000

Output
ΔH_f (0 K) in kJ per mole of atoms: -43.1
V in Å³/cell: 234
Symmetry: No. 86

Entry 9:
The following is a DFT calculation (PBE) of Cs4KRb9 after structural relaxation.

Unit cell a=16.050 b=16.050 c=16.286 alpha=119.52 beta=119.52 gamma=90.00
Fractional positions:
1 Rb 0.500 0.000 0.000
2 Rb 0.566 0.066 0.354
3 Rb 0.202 0.943 0.000
4 Rb 0.434 0.934 0.646
5 Rb 0.557 0.298 0.000
6 Rb 0.934 0.212 0.646
7 Rb 0.788 0.288 0.354
8 Rb 0.057 0.202 0.000
9 Rb 0.212 0.712 0.646
10 Rb 0.943 0.798 0.000
11 Rb 0.000 0.500 0.000
12 Rb 0.712 0.434 0.646
13 Rb 0.066 0.788 0.354
14 Rb 0.298 0.443 0.000
15 Rb 0.798 0.057 0.000
16 Rb 0.702 0.557 0.000
17 Rb 0.288 0.566 0.354
18 Rb 0.443 0.702 0.000
19 Cs 0.686 0.186 0.744
20 Cs 0.942 0.442 0.256
21 Cs 0.442 0.314 0.256
22 Cs 0.814 0.942 0.256
23 Cs 0.058 0.558 0.744
24 Cs 0.186 0.058 0.744
25 Cs 0.314 0.814 0.256
26 Cs 0.558 0.686 0.744
27 K 0.750 0.750 0.500
28 K 0.250 0.250 0.500

Output
ΔH_f (0 K) in kJ per mole of atoms: 6.8
V in Å³/cell: 3009
Symmetry: No. 140

Entry 10:
The following is a DFT calculation (PBE) of Rb3Ce2NdSe6 after structural relaxation.

Unit cell a=7.627 b=7.627 c=8.388 alpha=98.72 beta=98.72 gamma=120.00
Fractional positions:
1 Nd 0.000 0.000 0.000
2 Rb 0.166 0.834 0.500
3 Rb 0.834 0.166 0.500
4 Rb 0.500 0.500 0.500
5 Se 0.933 0.600 0.800
6 Se 0.733 0.733 0.200
7 Se 0.600 0.933 0.800
8 Se 0.267 0.267 0.800
9 Se 0.400 0.067 0.200
10 Se 0.067 0.400 0.200
11 Ce 0.667 0.333 0.000
12 Ce 0.333 0.667 0.000

Output
Formation energy without anion corrections in eV/atom: -1.692
V in Å³/cell: 403
Symmetry: No. 12

Entry 11:
The following is a DFT calculation (PBE) of In2NiGeTe after structural relaxation.

Unit cell a=5.167 b=5.167 c=4.489 alpha=90.00 beta=90.00 gamma=90.00
Fractional positions:
1 In 0.000 0.500 0.000
2 In 0.500 0.000 0.000
3 Ni 0.000 0.000 0.000
4 Te 0.500 0.500 0.500
5 Ge 0.000 0.000 0.500

Output
Formation energy without anion corrections in eV/atom: -0.086
V in Å³/cell: 120
Symmetry: No. 123

Entry 12:
The following is a DFT calculation (PBE) of HfVSi2 after structural relaxation.

Unit cell a=4.457 b=4.457 c=4.457 alpha=60.00 beta=60.00 gamma=60.00
Fractional positions:
1 V 0.000 0.000 0.000
2 Hf 0.500 0.500 0.500
3 Si 0.250 0.250 0.250
4 Si 0.750 0.750 0.750

Output
Formation energy without anion corrections in eV/atom: -0.130
E above lowest polymorph in eV/f.u.: 0.94
V in Å³/cell: 63
Symmetry: No. 225

Entry 13:
The following is a DFT calculation (PBE) of LiGaPS2 after structural relaxation.

Unit cell a=4.863 b=4.863 c=4.654 alpha=90.00 beta=90.00 gamma=90.00
Fractional positions:
1 S 0.000 0.500 0.000
2 S 0.500 0.000 0.000
3 Ga 0.000 0.000 0.000
4 P 0.000 0.000 0.500
5 Li 0.500 0.500 0.500

Output
Formation energy without anion corrections in eV/atom: 0.244
E above lowest polymorph in eV/f.u.: 0.00
V in Å³/cell: 110
Symmetry: No. 123

Entry 14:
The following is a DFT calculation (PBE) of ZrReNiCl2 after structural relaxation.

Unit cell a=4.589 b=4.706 c=4.589 alpha=90.00 beta=90.00 gamma=90.00
Fractional positions:
1 Ni 0.000 0.500 0.000
2 Zr 0.500 0.500 0.500
3 Cl 0.000 0.000 0.500
4 Cl 0.500 0.000 0.000
5 Re 0.000 0.000 0.000

Output
Formation energy without anion corrections in eV/atom: 0.891
V in Å³/cell: 99
Symmetry: No. 123

Entry 15:
The following is a DFT calculation (PBE) of ZrMnSi2Tc after structural relaxation.

Unit cell a=5.012 b=4.753 c=5.012 alpha=90.00 beta=90.00 gamma=90.00
Fractional positions:
1 Si 0.500 0.000 0.000
2 Si 0.000 0.000 0.500
3 Zr 0.000 0.000 0.000
4 Mn 0.500 0.500 0.500
5 Tc 0.000 0.500 0.000

Output
Formation energy without anion corrections in eV/atom: 1.455
V in Å³/cell: 119
Symmetry: No. 123

Entry 16:
The following is a DFT calculation (PBE) of Tm4MgTe5 after structural relaxation.

Unit cell a=6.031 b=7.450 c=7.450 alpha=80.57 beta=66.12 gamma=66.12
Fractional positions:
1 Te 0.896 0.388 0.821
2 Te 0.284 0.821 0.612
3 Te 0.104 0.612 0.179
4 Te 0.504 0.000 0.000
5 Te 0.716 0.179 0.388
6 Tm 0.410 0.406 0.774
7 Tm 0.590 0.594 0.226
8 Tm 0.184 0.226 0.406
9 Tm 0.816 0.774 0.594
10 Mg 0.006 0.000 0.000

Output
Formation energy without anion corrections in eV/atom: -1.088
V in Å³/cell: 280
Symmetry: No. 79

Entry 17:
The following is a DFT calculation (PBE) of SmZrTeO6 after structural relaxation.

Unit cell a=5.522 b=5.522 c=9.936 alpha=90.00 beta=90.00 gamma=120.00
Fractional positions:
1 O 0.351 0.359 0.862
2 O 0.649 0.009 0.362
3 O 0.009 0.649 0.862
4 O 0.649 0.641 0.138
5 O 0.351 0.991 0.638
6 O 0.991 0.641 0.362
7 O 0.359 0.009 0.138
8 O 0.359 0.351 0.362
9 O 0.641 0.991 0.862
10 O 0.009 0.359 0.638
11 O 0.641 0.649 0.638
12 O 0.991 0.351 0.138
13 Te 0.333 0.667 0.750
14 Te 0.667 0.333 0.250
15 Zr 0.667 0.333 0.750
16 Zr 0.333 0.667 0.250
17 Sm 0.000 0.000 0.500
18 Sm 0.000 0.000 0.000

Output
Formation energy without anion corrections in eV/atom: -2.382
V in Å³/cell: 262
Symmetry: No. 163

Entry 18:
The following is a DFT calculation (PBE) of GaPtO3 after structural relaxation.

Unit cell a=3.946 b=3.946 c=3.946 alpha=90.00 beta=90.00 gamma=90.00
Fractional positions:
1 O 0.000 0.500 0.000
2 O 0.500 0.000 0.000
3 O 0.000 0.000 0.500
4 Pt 0.000 0.000 0.000
5 Ga 0.500 0.500 0.500

Output
Formation energy without anion corrections in eV/atom: -0.149
V in Å³/cell: 61
Symmetry: No. 221

Entry 19:
The following is a DFT calculation (PBE) of BaCl after structural relaxation.

Unit cell a=5.424 b=5.424 c=6.493 alpha=90.00 beta=90.00 gamma=120.00
Fractional positions:
1 Ba 0.333 0.667 0.750
2 Ba 0.667 0.333 0.250
3 Cl 0.667 0.333 0.750
4 Cl 0.333 0.667 0.250

Output
Formation energy without anion corrections in eV/atom: -1.696
V in Å³/cell: 165
Symmetry: No. 194

Entry 20:
The following is a DFT calculation (PBE) of YTa4Al after structural relaxation.

Unit cell a=5.605 b=5.605 c=5.605 alpha=60.00 beta=60.00 gamma=60.00
Fractional positions:
1 Ta 0.377 0.377 0.870
2 Ta 0.870 0.377 0.377
3 Ta 0.377 0.377 0.377
4 Ta 0.377 0.870 0.377
5 Al 0.000 0.000 0.000
6 Y 0.750 0.750 0.750

Output
ΔH_f (0 K) in kJ per mole of atoms: 26.4
V in Å³/cell: 125
Symmetry: No. 216

Entry 21:
The following is a DFT calculation (PBE) of Tb2Ni3P2 after structural relaxation.

Unit cell a=3.688 b=5.342 c=6.668 alpha=115.65 beta=90.00 gamma=110.19
Fractional positions:
1 P 0.849 0.698 0.779
2 P 0.151 0.302 0.221
3 Ni 0.358 0.717 0.573
4 Ni 0.500 0.000 0.000
5 Ni 0.642 0.283 0.427
6 Tb 0.132 0.263 0.767
7 Tb 0.868 0.737 0.233

Output
ΔH_f (0 K) in kJ per mole of atoms: -85.9
V in Å³/cell: 109
Symmetry: No. 12

Entry 22:
The following is a DFT calculation (PBE) of SrTl2Fe after structural relaxation.

Unit cell a=7.737 b=7.737 c=7.737 alpha=152.21 beta=148.99 gamma=42.12
Fractional positions:
1 Sr 0.312 0.812 0.500
2 Tl 0.670 0.170 0.500
3 Tl 0.000 0.000 0.000
4 Fe 0.518 0.518 0.000

Output
ΔH_f (0 K) in kJ per mole of atoms: 23.6
V in Å³/cell: 111
Symmetry: No. 44

Entry 23:
The following is a DFT calculation (PBE) of Si2TcOs after structural relaxation.

Unit cell a=2.890 b=2.890 c=7.726 alpha=79.22 beta=79.22 gamma=60.00
Fractional positions:
1 Os 0.664 0.664 0.007
2 Tc 0.502 0.502 0.493
3 Si 0.083 0.083 0.750
4 Si 0.250 0.250 0.250

Output
Formation energy without anion corrections in eV/atom: -0.289
E above lowest polymorph in eV/f.u.: 0.50
V in Å³/cell: 55
Symmetry: No. 160

Entry 24:
The following is a DFT calculation (PBE) of KCoTe2 after structural relaxation.

Unit cell a=5.848 b=5.806 c=3.160 alpha=90.00 beta=90.00 gamma=90.00
Fractional positions:
1 Te 0.000 0.000 0.000
2 Te 0.500 0.500 0.000
3 K 0.000 0.500 0.500
4 Co 0.500 0.000 0.500

Output
Formation energy without anion corrections in eV/atom: 0.253
V in Å³/cell: 107
Symmetry: No. 47